[1]
Crystalline Ce3HgH3 at its relaxed geometry. Source: Alexandria, functional GGA-PBE.

Unit cell a=6.5997 b=6.5997 c=22.8234 alpha=90.00 beta=90.00 gamma=120.00
Space group R-3 (No. 148, hexagonal axes)
Symmetry-distinct sites (fractional):
Ce 0.0025 0.3192 0.1001 (multiplicity 18)
Hg 0.0000 0.0000 0.3328 (multiplicity 6)
H 0.0023 0.3496 0.8680 (multiplicity 18)

=====

[2]
Crystalline Ce3HgH at its relaxed geometry. Source: Alexandria, functional GGA-PBE.

Unit cell a=11.215 b=6.725 c=5.961 alpha=90.00 beta=104.37 gamma=90.00
Space group C2/m (No. 12)
Symmetry-distinct sites (fractional):
Ce 0.077 0.000 0.285 (multiplicity 4)
Ce 0.114 0.256 0.796 (multiplicity 8)
Hg 0.150 0.500 0.323 (multiplicity 4)
H 0.228 0.000 0.064 (multiplicity 4)

=====

The energy relative to the lowest polymorph listed for this composition results, record by record, are as follows: 0.045, 0.000 eV/atom.
The total moment results, record by record, are as follows: 2.843, 0.882 μB/f.u..
The uncorrected energy results, record by record, are as follows: -4.3005, -4.5539 eV per atom.